No. 1
The following is a PBE calculation of a geometry-optimized MnBe5 structure, from the Alexandria database.

a b c (Å): 2.5694 2.5694 7.7605
angles (deg): 90.00 90.00 90.00
Space group P4/mmm (No. 123)
Inequivalent atoms, fractional coordinates:
Mn: 0.0000 0.0000 0.0000 (multiplicity 1)
Be: 0.0000 0.0000 0.3406 (multiplicity 2)
Be: 0.5000 0.5000 0.1875 (multiplicity 2)
Be: 0.5000 0.5000 0.5000 (multiplicity 1)

Properties
D(E_F): 1.4 states/eV/cell
E_tot: -27.91 eV/cell

=====

No. 2
The following is a PBE calculation of a geometry-optimized KFeRe2 structure, from the Alexandria database.

a b c (Å): 2.7056 4.7901 5.3098
angles (deg): 90.00 90.00 90.00
Space group Pmmm (No. 47)
Inequivalent atoms, fractional coordinates:
K: 0.0000 0.0000 0.0000 (multiplicity 1)
Fe: 0.5000 0.5000 0.0000 (multiplicity 1)
Re: 0.0000 0.5000 0.5000 (multiplicity 1)
Re: 0.5000 0.0000 0.5000 (multiplicity 1)

Properties
D(E_F): 4.7 states/eV/cell
polymorph energy (0 for the lowest one): 640 meV/atom

=====

No. 3
The following is a PBE calculation of a geometry-optimized YMg2Pd structure, from the Alexandria database.

a b c (Å): 4.1428 4.1428 21.8036
angles (deg): 90.00 90.00 90.00
Space group I-42d (No. 122)
Inequivalent atoms, fractional coordinates:
Y: 0.0000 0.0000 0.0000 (multiplicity 4)
Mg: 0.2280 0.2500 0.6250 (multiplicity 8)
Pd: 0.0000 0.0000 0.5000 (multiplicity 4)

Properties
D(E_F): 12.0 states/eV/cell
E_tot: -62.10 eV/cell

=====

No. 4
The following is a PBE calculation of a geometry-optimized HfH2OsPd structure, from the Alexandria database.

a b c (Å): 3.6921 3.6921 5.2379
angles (deg): 90.00 90.00 90.00
Space group P4/mmm (No. 123)
Inequivalent atoms, fractional coordinates:
Hf: 0.0000 0.0000 0.0000 (multiplicity 1)
H: 0.0000 0.5000 0.0000 (multiplicity 2)
Os: 0.5000 0.5000 0.5000 (multiplicity 1)
Pd: 0.0000 0.0000 0.5000 (multiplicity 1)

Properties
D(E_F): 4.1 states/eV/cell
E_tot: -29.55 eV/cell

=====

No. 5
The following is a PBE calculation of a geometry-optimized Ba2PuCl8 structure, from the Alexandria database.

a b c (Å): 4.8512 6.6325 19.9817
angles (deg): 90.00 90.00 90.00
Space group Immm (No. 71)
Inequivalent atoms, fractional coordinates:
Ba: 0.0000 0.0000 0.1697 (multiplicity 4)
Pu: 0.0000 0.0000 0.5000 (multiplicity 2)
Cl: 0.0000 0.2436 0.3924 (multiplicity 8)
Cl: 0.0000 0.2696 0.0000 (multiplicity 4)
Cl: 0.0000 0.5000 0.2311 (multiplicity 4)

Properties
D(E_F): 14.4 states/eV/cell
E_form (uncorrected): -22.7 eV per formula unit

=====

No. 6
The following is a PBE calculation of a geometry-optimized Th2AsS2 structure, from the Alexandria database.

a b c (Å): 3.4003 3.4003 15.4008
angles (deg): 90.00 90.00 90.00
Space group P4/mmm (No. 123)
Inequivalent atoms, fractional coordinates:
Th: 0.0000 0.0000 0.1963 (multiplicity 2)
As: 0.0000 0.0000 0.0000 (multiplicity 1)
S: 0.0000 0.0000 0.3603 (multiplicity 2)

Properties
D(E_F): 7.8 states/eV/cell
E_form (uncorrected): 1.8 eV per formula unit
polymorph energy (0 for the lowest one): 2018 meV/atom

=====

No. 7
The following is a PBE calculation of a geometry-optimized NdDySbSe structure, from the Alexandria database.

a b c (Å): 4.3424 4.3424 6.0725
angles (deg): 90.00 90.00 90.00
Space group P4/mmm (No. 123)
Inequivalent atoms, fractional coordinates:
Nd: 0.0000 0.0000 0.0000 (multiplicity 1)
Dy: 0.5000 0.5000 0.5000 (multiplicity 1)
Sb: 0.5000 0.5000 0.0000 (multiplicity 1)
Se: 0.0000 0.0000 0.5000 (multiplicity 1)

Properties
D(E_F): 1.4 states/eV/cell
E_form (uncorrected): -5.7 eV per formula unit

=====

No. 8
The following is a PBE calculation of a geometry-optimized Li2CdCo structure, from the Alexandria database.

a b c (Å): 2.7675 2.7675 28.0167
angles (deg): 90.00 90.00 120.00
Space group R-3m (No. 166, hexagonal axes)
Inequivalent atoms, fractional coordinates:
Li: 0.0000 0.0000 0.2410 (multiplicity 6)
Cd: 0.0000 0.0000 0.0000 (multiplicity 3)
Co: 0.0000 0.0000 0.5000 (multiplicity 3)

Properties
D(E_F): 7.3 states/eV/cell
E_tot: -34.04 eV/cell

=====

No. 9
The following is a PBE calculation of a geometry-optimized La2BiAu structure, from the Alexandria database.

a b c (Å): 5.3968 5.3968 4.1134
angles (deg): 90.00 90.00 90.00
Space group P4/mmm (No. 123)
Inequivalent atoms, fractional coordinates:
La: 0.0000 0.5000 0.0000 (multiplicity 2)
Bi: 0.0000 0.0000 0.5000 (multiplicity 1)
Au: 0.5000 0.5000 0.5000 (multiplicity 1)

Properties
D(E_F): 4.2 states/eV/cell
E_tot: -20.21 eV/cell

=====

No. 10
The following is a PBE calculation of a geometry-optimized Mg3Sc3Pd2 structure, from the Alexandria database.

a b c (Å): 7.5736 7.5736 3.3422
angles (deg): 90.00 90.00 120.00
Space group P-62m (No. 189)
Inequivalent atoms, fractional coordinates:
Mg: 0.0000 0.2314 0.0000 (multiplicity 3)
Sc: 0.0000 0.5739 0.5000 (multiplicity 3)
Pd: 0.3333 0.6667 0.0000 (multiplicity 2)

Properties
D(E_F): 5.7 states/eV/cell
E_tot: -38.08 eV/cell

=====

No. 11
The following is a PBE calculation of a geometry-optimized NaIn2CuSe4 structure, from the Alexandria database.

a b c (Å): 6.0562 6.0562 12.3220
angles (deg): 90.00 90.00 90.00
Space group I-42m (No. 121)
Inequivalent atoms, fractional coordinates:
Na: 0.0000 0.0000 0.0000 (multiplicity 2)
In: 0.0000 0.5000 0.2500 (multiplicity 4)
Cu: 0.0000 0.0000 0.5000 (multiplicity 2)
Se: 0.2248 0.2248 0.3771 (multiplicity 8)

Properties
D(E_F): 3.6 states/eV/cell
E_form (uncorrected): -4.8 eV per formula unit

=====

No. 12
The following is a PBE calculation of a geometry-optimized RbCuRhSe3 structure, from the Alexandria database.

a b c (Å): 8.6290 3.8933 9.7471
angles (deg): 90.00 114.43 90.00
Space group P2_1/m (No. 11)
Inequivalent atoms, fractional coordinates:
Rb: 0.2353 0.2500 0.2602 (multiplicity 2)
Cu: 0.0759 0.2500 0.5954 (multiplicity 2)
Rh: 0.3203 0.7500 0.8503 (multiplicity 2)
Se: 0.1337 0.2500 0.8591 (multiplicity 2)
Se: 0.2305 0.7500 0.5622 (multiplicity 2)
Se: 0.4826 0.7500 0.1301 (multiplicity 2)

Properties
D(E_F): 5.4 states/eV/cell
E_form (uncorrected): -3.4 eV per formula unit

=====

No. 13
The following is a PBE calculation of a geometry-optimized Er2PaTl structure, from the Alexandria database.

a b c (Å): 3.4492 3.4492 9.1745
angles (deg): 90.00 90.00 90.00
Space group P4/mmm (No. 123)
Inequivalent atoms, fractional coordinates:
Er: 0.0000 0.0000 0.2437 (multiplicity 2)
Pa: 0.5000 0.5000 0.5000 (multiplicity 1)
Tl: 0.5000 0.5000 0.0000 (multiplicity 1)

Properties
D(E_F): 4.7 states/eV/cell
polymorph energy (0 for the lowest one): 0 meV/atom

=====

No. 14
The following is a PBE calculation of a geometry-optimized W4Se structure, from the Alexandria database.

a b c (Å): 4.0494 4.0494 12.2303
angles (deg): 90.00 90.00 90.00
Space group I4/mmm (No. 139)
Inequivalent atoms, fractional coordinates:
W: 0.0000 0.0000 0.1189 (multiplicity 4)
W: 0.0000 0.5000 0.2500 (multiplicity 4)
Se: 0.0000 0.0000 0.5000 (multiplicity 2)

Properties
D(E_F): 7.8 states/eV/cell
E_form (uncorrected): 5.0 eV per formula unit
polymorph energy (0 for the lowest one): 405 meV/atom

=====

No. 15
The following is a PBE calculation of a geometry-optimized CrFe2Tc structure, from the Alexandria database.

a b c (Å): 2.5156 4.1478 4.8746
angles (deg): 90.00 102.44 90.00
Space group P2/m (No. 10)
Inequivalent atoms, fractional coordinates:
Cr: 0.0000 0.0000 0.0000 (multiplicity 1)
Fe: 0.2364 0.5000 0.7578 (multiplicity 2)
Tc: 0.5000 0.0000 0.5000 (multiplicity 1)

Properties
D(E_F): 3.9 states/eV/cell
E_tot: -36.47 eV/cell

=====

No. 16
The following is a PBE calculation of a geometry-optimized Nd2Mn2ZnNi5 structure, from the Alexandria database.

a b c (Å): 9.2968 9.2968 3.6750
angles (deg): 90.00 90.00 90.00
Space group P4/mbm (No. 127)
Inequivalent atoms, fractional coordinates:
Nd: 0.1844 0.3156 0.0000 (multiplicity 4)
Mn: 0.1152 0.6152 0.0000 (multiplicity 4)
Zn: 0.0000 0.0000 0.0000 (multiplicity 2)
Ni: 0.0000 0.5000 0.5000 (multiplicity 2)
Ni: 0.0540 0.7945 0.5000 (multiplicity 8)

Properties
D(E_F): 16.5 states/eV/cell
E_tot: -116.78 eV/cell

=====

No. 17
The following is a PBE calculation of a geometry-optimized Dy5ErTm8 structure, from the Alexandria database.

a b c (Å): 9.4447 9.4447 9.9109
angles (deg): 90.00 90.00 90.00
Space group I-4 (No. 82)
Inequivalent atoms, fractional coordinates:
Dy: 0.0000 0.0000 0.0000 (multiplicity 2)
Dy: 0.1119 0.2124 0.5779 (multiplicity 8)
Er: 0.0000 0.5000 0.2500 (multiplicity 2)
Tm: 0.0707 0.3246 0.9072 (multiplicity 8)
Tm: 0.0896 0.1726 0.2487 (multiplicity 8)

Properties
D(E_F): 39.6 states/eV/cell
E_tot: -119.52 eV/cell

=====

No. 18
The following is a PBE calculation of a geometry-optimized Zr2CoHg structure, from the Alexandria database.

a b c (Å): 3.6123 3.6123 22.3834
angles (deg): 90.00 90.00 120.00
Space group R3m (No. 160, hexagonal axes)
Inequivalent atoms, fractional coordinates:
Zr: 0.0000 0.0000 0.0000 (multiplicity 3)
Zr: 0.0000 0.0000 0.2059 (multiplicity 3)
Co: 0.0000 0.0000 0.6014 (multiplicity 3)
Hg: 0.0000 0.0000 0.4363 (multiplicity 3)

Properties
D(E_F): 8.5 states/eV/cell
E_tot: -74.61 eV/cell

=====

No. 19
The following is a PBE calculation of a geometry-optimized Cs2Se3S structure, from the Alexandria database.

a b c (Å): 12.5235 7.1055 11.1292
angles (deg): 90.00 118.32 90.00
Space group C2/c (No. 15)
Inequivalent atoms, fractional coordinates:
Cs: 0.1646 0.1716 0.1295 (multiplicity 8)
Se: 0.0000 0.1893 0.7500 (multiplicity 4)
Se: 0.1536 0.3257 0.4673 (multiplicity 8)
S: 0.0000 0.4963 0.2500 (multiplicity 4)

Properties
D(E_F): 6.6 states/eV/cell
E_form (uncorrected): -3.9 eV per formula unit

=====

No. 20
The following is a PBE calculation of a geometry-optimized ErTm4Pb5 structure, from the Alexandria database.

a b c (Å): 9.8569 9.8569 6.2333
angles (deg): 90.00 90.00 90.00
Space group I4 (No. 79)
Inequivalent atoms, fractional coordinates:
Er: 0.0000 0.0000 0.0000 (multiplicity 2)
Tm: 0.1003 0.7001 0.4955 (multiplicity 8)
Pb: 0.0000 0.0000 0.5004 (multiplicity 2)
Pb: 0.1001 0.6994 0.9954 (multiplicity 8)

Properties
D(E_F): 17.4 states/eV/cell
polymorph energy (0 for the lowest one): 111 meV/atom